## RbCSe2 (GGA-PBEsol)

Data for an optimized crystal structure of RbCSe2.

Values from the calculation:
Formation energy from raw total energies, eV per atom: 0.37
DOS at the Fermi energy, states/eV/atom: 0.902
Calculated total energy, eV per atom: -4.23

```
data_RbCSe2
_cell_length_a 6.841
_cell_length_b 6.841
_cell_length_c 8.231
_cell_angle_alpha 90.00
_cell_angle_beta 90.00
_cell_angle_gamma 90.00
_space_group_name_H-M_alt 'I -4 2 d'
_space_group_IT_number 122
_space_group_name_Hall 'I -4 2bw'
loop_
_atom_site_label
_atom_site_fract_x
_atom_site_fract_y
_atom_site_fract_z
Rb1 0.000 0.000 0.000
C1 0.000 0.000 0.500
Se1 0.099 0.750 0.625
```

## RbCSe2 (GGA-PBEsol)

Data for an optimized crystal structure of RbCSe2.

Values from the calculation:
Formation energy from raw total energies, eV per atom: 0.34
DOS at the Fermi energy, states/eV/atom: 0.317
Calculated total energy, eV per atom: -4.26

```
data_RbCSe2
_cell_length_a 5.8045
_cell_length_b 5.8045
_cell_length_c 16.4837
_cell_angle_alpha 90.00
_cell_angle_beta 90.00
_cell_angle_gamma 120.00
_space_group_name_H-M_alt 'R -3 m'
_space_group_IT_number 166
_space_group_name_Hall '-R 3 2"'
loop_
_atom_site_label
_atom_site_fract_x
_atom_site_fract_y
_atom_site_fract_z
Rb1 0.0000 0.0000 0.0000
C1 0.0000 0.0000 0.5000
Se1 0.0000 0.0000 0.3936
```

## RbC2Se2 (GGA-PBEsol)

Data for an optimized crystal structure of RbC2Se2.

Values from the calculation:
Formation energy from raw total energies, eV per atom: 1.14
DOS at the Fermi energy, states/eV/atom: 0.157
Calculated total energy, eV per atom: -4.46

```
data_RbC2Se2
_cell_length_a 8.568
_cell_length_b 8.568
_cell_length_c 3.144
_cell_angle_alpha 90.00
_cell_angle_beta 90.00
_cell_angle_gamma 90.00
_space_group_name_H-M_alt 'P 4/m b m'
_space_group_IT_number 127
_space_group_name_Hall '-P 4 2ab'
loop_
_atom_site_label
_atom_site_fract_x
_atom_site_fract_y
_atom_site_fract_z
Rb1 0.000 0.000 0.000
C1 0.057 0.443 0.500
Se1 0.141 0.641 0.000
```

## RbSn2C2 (GGA-PBEsol)

Data for an optimized crystal structure of RbSn2C2.

Values from the calculation:
Excess energy over the best structure of this formula in the dataset, meV per atom: 135
DFT formation energy, eV/atom: 1.13
DOS at the Fermi energy, states/eV/atom: 0.168
Calculated total energy, eV per atom: -4.63

```
data_RbSn2C2
_cell_length_a 4.443
_cell_length_b 4.443
_cell_length_c 12.370
_cell_angle_alpha 90.00
_cell_angle_beta 90.00
_cell_angle_gamma 90.00
_space_group_name_H-M_alt 'I 4/m m m'
_space_group_IT_number 139
_space_group_name_Hall '-I 4 2'
loop_
_atom_site_label
_atom_site_fract_x
_atom_site_fract_y
_atom_site_fract_z
Rb1 0.000 0.000 0.000
Sn1 0.000 0.500 0.250
C1 0.000 0.000 0.293
```

- What is the formula in the fourth record?
  RbSn2C2